## TbTmBeHg (GGA-PBE)

Data for a relaxed TbTmBeHg crystal.

Total moment = 0.00 μB/f.u.
Final energy = -13.63 eV per cell
Fermi-level density of states = 3.80 states/eV/cell
Space-group type = F-43m, No. 216
Calculated density = 9.684 Mg/m³
Energy of formation from the pure elements = -0.12 eV per atom

Unit cell a=5.0702 b=5.0702 c=5.0702 alpha=60.00 beta=60.00 gamma=60.00
Fractional coordinates of all 4 atoms:
Tb  0.0000  0.0000  0.0000
Tm  0.5000  0.5000  0.5000
Be  0.7500  0.7500  0.7500
Hg  0.2500  0.2500  0.2500

---

## TbYBeHg (GGA-PBE)

Data for a relaxed TbYBeHg crystal.

Total moment = 0.00 μB/f.u.
Final energy = -15.64 eV per cell
Fermi-level density of states = 4.16 states/eV/cell
Space-group type = F-43m, No. 216
Calculated density = 8.043 Mg/m³
Energy of formation from the pure elements = -0.13 eV per atom

Unit cell a=5.1117 b=5.1117 c=5.1117 alpha=60.00 beta=60.00 gamma=60.00
Fractional coordinates of all 4 atoms:
Tb  0.0000  0.0000  0.0000
Y  0.5000  0.5000  0.5000
Be  0.2500  0.2500  0.2500
Hg  0.7500  0.7500  0.7500

---

## BeTcHg (GGA-PBE)

Data for a relaxed BeTcHg crystal.

Total moment = 0.00 μB/f.u.
Final energy = -13.14 eV per cell
Fermi-level density of states = 2.84 states/eV/cell
Energy above the lowest structure with this stoichiometry = 0.00 eV per formula unit
Space-group type = I4mm, No. 107
Calculated density = 11.543 Mg/m³
Energy of formation from the pure elements = 0.42 eV per atom

Unit cell a=5.4432 b=5.4432 c=5.4432 alpha=148.35 beta=148.35 gamma=45.36
Fractional coordinates of all 3 atoms:
Be  0.0000  0.0000  0.0000
Tc  0.3893  0.3893  0.0000
Hg  0.6822  0.6822  0.0000

---

## Be2Tc2Hg (GGA-PBE)

Data for a relaxed Be2Tc2Hg crystal.

Total moment = 1.15 μB/f.u.
Final energy = -55.43 eV per cell
Fermi-level density of states = 8.19 states/eV/cell
Space-group type = P4/mbm, No. 127
Calculated density = 10.740 Mg/m³
Energy of formation from the pure elements = 0.15 eV per atom

Unit cell a=6.2625 b=6.2625 c=3.2690 alpha=90.00 beta=90.00 gamma=90.00
Fractional coordinates of all 10 atoms:
Be  0.1174  0.3826  0.0000
Be  0.3826  0.8826  0.0000
Be  0.6174  0.1174  0.0000
Be  0.8826  0.6174  0.0000
Tc  0.1691  0.6691  0.5000
Tc  0.3309  0.1691  0.5000
Tc  0.6691  0.8309  0.5000
Tc  0.8309  0.3309  0.5000
Hg  0.0000  0.0000  0.0000
Hg  0.5000  0.5000  0.0000

---

What did the second record say?
## TbYBeHg (GGA-PBE)

Data for a relaxed TbYBeHg crystal.

Total moment = 0.00 μB/f.u.
Final energy = -15.64 eV per cell
Fermi-level density of states = 4.16 states/eV/cell
Space-group type = F-43m, No. 216
Calculated density = 8.043 Mg/m³
Energy of formation from the pure elements = -0.13 eV per atom

Unit cell a=5.1117 b=5.1117 c=5.1117 alpha=60.00 beta=60.00 gamma=60.00
Fractional coordinates of all 4 atoms:
Tb  0.0000  0.0000  0.0000
Y  0.5000  0.5000  0.5000
Be  0.2500  0.2500  0.2500
Hg  0.7500  0.7500  0.7500

---

What did the first record say?
## TbTmBeHg (GGA-PBE)

Data for a relaxed TbTmBeHg crystal.

Total moment = 0.00 μB/f.u.
Final energy = -13.63 eV per cell
Fermi-level density of states = 3.80 states/eV/cell
Space-group type = F-43m, No. 216
Calculated density = 9.684 Mg/m³
Energy of formation from the pure elements = -0.12 eV per atom

Unit cell a=5.0702 b=5.0702 c=5.0702 alpha=60.00 beta=60.00 gamma=60.00
Fractional coordinates of all 4 atoms:
Tb  0.0000  0.0000  0.0000
Tm  0.5000  0.5000  0.5000
Be  0.7500  0.7500  0.7500
Hg  0.2500  0.2500  0.2500